Material: Y2NiTe
Method: DFT, PBE
State: optimized geometry

Lattice parameters (Å, degrees): 5.0959 5.0959 5.0959 60.00 60.00 60.00
Closest atoms and distances in Å follow each position.
Element x y z (fractional)
Ni  0.5000  0.5000  0.5000  4 Te 3.12, 4 Y 3.12
Te  0.2500  0.2500  0.2500  4 Ni 3.12, 4 Y 3.12
Y  0.0000  0.0000  0.0000  4 Te 3.12, 4 Y 3.12
Y  0.7500  0.7500  0.7500  4 Y 3.12, 4 Ni 3.12

Final energy ... -5.441 eV/atom
D(E_F) ... 5.1 states/eV/cell
Calculated volume ... 23.4 Å³ per atom
Formation energy without anion corrections ... 0.09 eV/f.u.